Entry 1:
VASP calculation (PBE-GGA) on an optimized crystal structure of CdTcAg2.

Lattice parameters (Å, degrees): 5.0408 5.0408 5.3038 82.87 82.87 31.48
Fractional positions:
Ag: 0.0025 0.0025 0.9978
Ag: 0.2500 0.2500 0.2435
Cd: 0.4977 0.4977 0.5103
Tc: 0.7497 0.7497 0.7484

D(E_F): 0.721 states/eV/atom
Formation energy from the elements: 0.41 eV per atom
Total energy: -3.8343 eV/atom



Entry 2:
VASP calculation (PBE-GGA) on an optimized crystal structure of AcPmBeAl.

Lattice parameters (Å, degrees): 5.3073 5.3073 5.3073 60.00 60.00 60.00
Fractional positions:
Be: 0.0000 0.0000 0.0000
Ac: 0.2500 0.2500 0.2500
Al: 0.5000 0.5000 0.5000
Pm: 0.7500 0.7500 0.7500

D(E_F): 1.218 states/eV/atom
Formation energy from the elements: 0.05 eV per atom
Total energy: -4.0279 eV/atom



Entry 3:
VASP calculation (PBE-GGA) on an optimized crystal structure of Ca2Hg2Au.

Lattice parameters (Å, degrees): 6.1128 6.8329 8.0197 115.21 112.40 90.00
Fractional positions:
Ca: 0.3415 0.5664 0.6831
Ca: 0.6585 0.4336 0.3169
Ca: 0.1585 0.8833 0.3169
Ca: 0.8415 0.1167 0.6831
Hg: 0.9027 0.7380 0.8055
Hg: 0.0973 0.2620 0.1945
Hg: 0.5973 0.9325 0.1945
Hg: 0.4027 0.0675 0.8055
Au: 0.7500 0.5000 0.0000
Au: 0.2500 0.5000 0.0000

D(E_F): 0.623 states/eV/atom
Formation energy from the elements: -0.47 eV per atom
Total energy: -2.0498 eV/atom
Distance to the lowest polymorph of the same formula: 0.89 kcal/mol of atoms



Entry 4:
VASP calculation (PBE-GGA) on an optimized crystal structure of Tb2AlZn3Ga4.

Lattice parameters (Å, degrees): 4.1335 4.1335 10.9078 90.00 90.00 90.00
Fractional positions:
Tb: 0.5000 0.0000 0.2474
Tb: 0.0000 0.5000 0.7526
Al: 0.5000 0.5000 0.5000
Zn: 0.0000 0.0000 0.5000
Zn: 0.5000 0.0000 0.8626
Zn: 0.0000 0.5000 0.1374
Ga: 0.5000 0.5000 0.0000
Ga: 0.0000 0.0000 0.0000
Ga: 0.5000 0.0000 0.6427
Ga: 0.0000 0.5000 0.3573

D(E_F): 0.228 states/eV/atom
Formation energy from the elements: -0.43 eV per atom
Total energy: -3.3248 eV/atom



Entry 5:
VASP calculation (PBE-GGA) on an optimized crystal structure of KAgBiRh2.

Lattice parameters (Å, degrees): 4.8443 5.1141 4.8443 90.00 90.00 90.00
Fractional positions:
K: 0.0000 0.0000 0.0000
Rh: 0.0000 0.0000 0.5000
Rh: 0.5000 0.0000 0.0000
Bi: 0.5000 0.5000 0.5000
Ag: 0.0000 0.5000 0.0000

D(E_F): 0.617 states/eV/atom
Formation energy from the elements: 1.55 eV per atom
Total energy: -2.9598 eV/atom



Entry 6:
VASP calculation (PBE-GGA) on an optimized crystal structure of LiPbO3.

Lattice parameters (Å, degrees): 4.2017 4.2017 4.2017 90.00 90.00 90.00
Fractional positions:
Pb: 0.0000 0.0000 0.0000
O: 0.0000 0.5000 0.0000
O: 0.0000 0.0000 0.5000
O: 0.5000 0.0000 0.0000
Li: 0.5000 0.5000 0.5000

D(E_F): 0.586 states/eV/atom
ΔE_f (raw): -0.5559 eV per atom
Total energy: -4.6553 eV/atom



Entry 7:
VASP calculation (PBE-GGA) on an optimized crystal structure of NbCr2HRh.

Lattice parameters (Å, degrees): 3.7810 3.7810 4.0936 90.00 90.00 90.00
Fractional positions:
Cr: 0.0000 0.5000 0.0000
Cr: 0.5000 0.0000 0.0000
Nb: 0.0000 0.0000 0.5000
Rh: 0.5000 0.5000 0.5000
H: 0.0000 0.0000 0.0000

D(E_F): 1.151 states/eV/atom
Total energy: -7.9949 eV/atom
Distance to the lowest polymorph of the same formula: 0.00 kcal/mol of atoms



Entry 8:
VASP calculation (PBE-GGA) on an optimized crystal structure of LaPmNdEr2.

Lattice parameters (Å, degrees): 7.2354 8.4926 7.1998 126.14 90.00 90.00
Fractional positions:
La: 0.7500 0.7334 0.4668
La: 0.2500 0.2666 0.5332
Pm: 0.2500 0.7212 0.4423
Pm: 0.7500 0.2788 0.5577
Nd: 0.2500 0.9996 0.9991
Nd: 0.7500 0.0004 0.0009
Er: 0.5000 0.3131 0.0000
Er: 0.0000 0.6869 0.0000
Er: 0.5000 0.6869 0.0000
Er: 0.0000 0.3131 0.0000

D(E_F): 1.532 states/eV/atom
Formation energy from the elements: 0.34 eV per atom
Total energy: -4.3772 eV/atom



Entry 9:
VASP calculation (PBE-GGA) on an optimized crystal structure of NaLiDyAu.

Lattice parameters (Å, degrees): 5.0122 5.0122 5.0122 60.00 60.00 60.00
Fractional positions:
Na: 0.5000 0.5000 0.5000
Li: 0.7500 0.7500 0.7500
Au: 0.2500 0.2500 0.2500
Dy: 0.0000 0.0000 0.0000

D(E_F): 0.761 states/eV/atom
Formation energy from the elements: -0.23 eV per atom
Total energy: -3.0045 eV/atom



Entry 10:
VASP calculation (PBE-GGA) on an optimized crystal structure of CeSmGdEr.

Lattice parameters (Å, degrees): 5.6758 5.6758 5.6758 60.00 60.00 60.00
Fractional positions:
Gd: 0.7500 0.7500 0.7500
Ce: 0.0000 0.0000 0.0000
Sm: 0.2500 0.2500 0.2500
Er: 0.5000 0.5000 0.5000

D(E_F): 3.636 states/eV/atom
Formation energy from the elements: 0.20 eV per atom
Total energy: -7.1227 eV/atom



Entry 11:
VASP calculation (PBE-GGA) on an optimized crystal structure of YIn2Ga2.

Lattice parameters (Å, degrees): 4.3252 4.3252 6.9682 71.92 71.92 90.00
Fractional positions:
Y: 0.0000 0.0000 0.0000
Ga: 0.4024 0.4024 0.1952
Ga: 0.5976 0.5976 0.8048
In: 0.7500 0.2500 0.5000
In: 0.2500 0.7500 0.5000

D(E_F): 0.255 states/eV/atom
Formation energy from the elements: -0.21 eV per atom
Total energy: -3.8063 eV/atom
Distance to the lowest polymorph of the same formula: 0.45 kcal/mol of atoms



Entry 12:
VASP calculation (PBE-GGA) on an optimized crystal structure of MoRh7.

Lattice parameters (Å, degrees): 5.4496 5.4496 5.4496 60.00 60.00 60.00
Fractional positions:
Mo: 0.0000 0.0000 0.0000
Rh: 0.0000 0.0000 0.5000
Rh: 0.0000 0.5000 0.0000
Rh: 0.0000 0.5000 0.5000
Rh: 0.5000 0.0000 0.0000
Rh: 0.5000 0.0000 0.5000
Rh: 0.5000 0.5000 0.0000
Rh: 0.5000 0.5000 0.5000

D(E_F): 0.978 states/eV/atom
Formation energy from the elements: -0.09 eV per atom
Total energy: -7.8748 eV/atom



What did the eighth record say?
VASP calculation (PBE-GGA) on an optimized crystal structure of LaPmNdEr2.

Lattice parameters (Å, degrees): 7.2354 8.4926 7.1998 126.14 90.00 90.00
Fractional positions:
La: 0.7500 0.7334 0.4668
La: 0.2500 0.2666 0.5332
Pm: 0.2500 0.7212 0.4423
Pm: 0.7500 0.2788 0.5577
Nd: 0.2500 0.9996 0.9991
Nd: 0.7500 0.0004 0.0009
Er: 0.5000 0.3131 0.0000
Er: 0.0000 0.6869 0.0000
Er: 0.5000 0.6869 0.0000
Er: 0.0000 0.3131 0.0000

D(E_F): 1.532 states/eV/atom
Formation energy from the elements: 0.34 eV per atom
Total energy: -4.3772 eV/atom



What is the D(E_F) in the second record? 1.218 states/eV/atom



The highest total energy belongs to which entry? Ca2Hg2Au